(1)
# Y2RuAu

An optimized crystal structure of Y2RuAu (PBE-GGA, Alexandria).

Cell lengths 6.233, 6.233, 6.233 Å; angles 150.08, 130.03, 59.35 degrees
Fractional positions:
Y  0.236  0.236  0.000
Y  0.764  0.764  0.000
Ru  0.000  0.000  0.000
Au  0.500  0.500  0.000

## Properties
As for the crystal system: orthorhombic. The value obtained for the magnetization is 0.0 μB per formula unit. The uncorrected energy is -23.53 eV for the cell shown. As for the formation energy: 0.489 eV/atom.

---

(2)
# Y5RuAu2

An optimized crystal structure of Y5RuAu2 (PBE-GGA, Alexandria).

Cell lengths 7.346, 11.744, 4.715 Å; angles 90.00, 90.00, 90.00 degrees
Fractional positions:
Y  0.000  0.000  0.000
Y  0.153  0.295  0.000
Y  0.180  0.585  0.500
Y  0.320  0.085  0.500
Y  0.347  0.795  0.000
Y  0.500  0.500  0.000
Y  0.653  0.205  0.000
Y  0.680  0.915  0.500
Y  0.820  0.415  0.500
Y  0.847  0.705  0.000
Ru  0.000  0.500  0.000
Ru  0.500  0.000  0.000
Au  0.069  0.837  0.500
Au  0.431  0.337  0.500
Au  0.569  0.663  0.500
Au  0.931  0.163  0.500

## Properties
As for the crystal system: orthorhombic. The value obtained for the magnetization is 0.0 μB per formula unit. The uncorrected energy is -105.63 eV for the cell shown. As for the formation energy: -0.583 eV/atom.

---

(3)
# Y2RuAu

An optimized crystal structure of Y2RuAu (PBE-GGA, Alexandria).

Cell lengths 4.880, 4.880, 4.880 Å; angles 60.00, 60.00, 60.00 degrees
Fractional positions:
Y  0.000  0.000  0.000
Y  0.250  0.250  0.250
Ru  0.500  0.500  0.500
Au  0.750  0.750  0.750

## Properties
As for the crystal system: cubic. The value obtained for the magnetization is 0.0 μB per formula unit. The uncorrected energy is -26.04 eV for the cell shown. As for the formation energy: -0.139 eV/atom.